(1)
BaIrRh2: relaxed, GGA-PBE.

Lattice parameters (Å, degrees): 4.3487 4.3487 4.0743 90.00 90.00 90.00
Last column: nearest neighbours and their distance in Å.
Atoms (fractional coordinates):
Ba  0.0000  0.0000  0.0000  8 Rh 2.98, 4 Ir 3.08
Ir  0.5000  0.5000  0.0000  8 Rh 2.98, 4 Ba 3.08
Rh  0.0000  0.5000  0.5000  4 Ba 2.98, 4 Ir 2.98, 4 Rh 3.08
Rh  0.5000  0.0000  0.5000  4 Ba 2.98, 4 Ir 2.98, 4 Rh 3.08

Energy of formation (eV/atom): 0.6203
M_tot (μB per cell): 0.00
Energy above the lowest structure with this stoichiometry (meV/atom): 642
SG: P4/mmm (123)

(2)
SmClF: relaxed, GGA-PBE.

Lattice parameters (Å, degrees): 4.2271 4.2271 9.9372 104.52 104.52 54.78
Last column: nearest neighbours and their distance in Å.
Atoms (fractional coordinates):
Sm  0.1810  0.1810  0.1502  4 F 2.40-2.50
Sm  0.8190  0.8190  0.8498  4 F 2.40-2.50
Cl  0.4144  0.4144  0.6765  3 Sm 2.82-3.04, 2 F 3.09
Cl  0.5856  0.5856  0.3235  3 Sm 2.82-3.04, 2 F 3.09
F  0.1574  0.1574  0.8938  4 Sm 2.40-2.50
F  0.8426  0.8426  0.1062  4 Sm 2.40-2.50

M_tot (μB per cell): 0.00
Energy above the lowest structure with this stoichiometry (meV/atom): 0
Raw formation energy (eV per atom): -2.70
SG: C2/m (12)

(3)
GeHSCl2: relaxed, GGA-PBE.

Lattice parameters (Å, degrees): 4.9738 4.9738 4.7112 90.00 90.00 90.00
Last column: nearest neighbours and their distance in Å.
Atoms (fractional coordinates):
Ge  0.0000  0.0000  0.0000  2 S 2.36, 4 Cl 2.49
H  0.5000  0.5000  0.5000  8 Cl 3.43, 4 S 3.52
S  0.0000  0.0000  0.5000  2 Ge 2.36
Cl  0.0000  0.5000  0.0000  2 Ge 2.49
Cl  0.5000  0.0000  0.0000  2 Ge 2.49

M_tot (μB per cell): 0.17
Energy above the lowest structure with this stoichiometry (meV/atom): 52
SG: P4/mmm (123)

(4)
Ca2Cu3Ni: relaxed, GGA-PBE.

Lattice parameters (Å, degrees): 6.2839 6.2839 6.2839 140.08 130.76 65.18
Last column: nearest neighbours and their distance in Å.
Atoms (fractional coordinates):
Ca  0.1967  0.1967  0.0000  6 Cu 2.78-2.99
Ca  0.8033  0.8033  0.0000  6 Cu 2.78-2.99
Cu  0.0000  0.5000  0.5000  2 Ni 2.62
Cu  0.3911  0.8911  0.5000  1 Cu 2.31, 2 Ni 2.44
Cu  0.6089  0.1089  0.5000  1 Cu 2.31, 2 Ni 2.44
Ni  0.5000  0.5000  0.0000  6 Cu 2.44-2.62

Energy of formation (eV/atom): 0.1448
M_tot (μB per cell): 0.00
Energy above the lowest structure with this stoichiometry (meV/atom): 263
SG: Immm (71)

(5)
PrPaAs2: relaxed, GGA-PBE.

Lattice parameters (Å, degrees): 7.5811 7.5811 7.5811 31.57 31.57 31.57
Last column: nearest neighbours and their distance in Å.
Atoms (fractional coordinates):
Pr  0.0000  0.0000  0.0000  6 As 2.99-3.16
Pa  0.1762  0.1762  0.1762  6 As 2.86-2.94
As  0.5829  0.5829  0.5829  3 Pa 2.86, 3 Pr 2.99
As  0.7627  0.7627  0.7627  3 Pa 2.94, 3 Pr 3.16

Energy of formation (eV/atom): -1.1467
M_tot (μB per cell): 0.00
Energy above the lowest structure with this stoichiometry (meV/atom): 130
SG: R3m (160)

(6)
BaHCl2: relaxed, GGA-PBE.

Lattice parameters (Å, degrees): 7.8179 7.8179 7.8179 31.93 31.93 31.93
Last column: nearest neighbours and their distance in Å.
Atoms (fractional coordinates):
Ba  0.0000  0.0000  0.0000  6 Cl 3.27
H  0.5000  0.5000  0.5000  2 Cl 1.58
Cl  0.4289  0.4289  0.4289  1 H 1.58
Cl  0.5711  0.5711  0.5711  1 H 1.58

VASP energy (eV per atom): -3.3366
M_tot (μB per cell): 0.81
SG: R-3m (166)

(7)
LiYTl2: relaxed, GGA-PBE.

Lattice parameters (Å, degrees): 3.8883 3.8883 6.8741 90.00 90.00 90.15
Last column: nearest neighbours and their distance in Å.
Atoms (fractional coordinates):
Li  0.0000  0.0000  0.0000  5 Tl 3.01-3.16
Y  0.5000  0.5000  0.7088  5 Tl 3.22-3.24, 4 Li 3.40
Tl  0.0000  0.0000  0.4601  1 Li 3.16, 4 Y 3.23-3.24, 4 Tl 3.36-3.37
Tl  0.5000  0.5000  0.1776  4 Li 3.01, 1 Y 3.22, 2 Tl 3.36

Energy of formation (eV/atom): -0.1143
M_tot (μB per cell): 0.46
Energy above the lowest structure with this stoichiometry (meV/atom): 215
SG: Cmm2 (35)

(8)
NpPaSnO6: relaxed, GGA-PBE.

Lattice parameters (Å, degrees): 5.9761 5.9761 9.7618 90.00 90.00 120.00
Last column: nearest neighbours and their distance in Å.
Atoms (fractional coordinates):
Np  0.3333  0.6667  0.2500  6 O 2.16
Np  0.6667  0.3333  0.7500  6 O 2.16
Pa  0.3333  0.6667  0.7500  6 O 2.20
Pa  0.6667  0.3333  0.2500  6 O 2.20
Sn  0.0000  0.0000  0.0000  6 O 2.58
Sn  0.0000  0.0000  0.5000  6 O 2.58
O  0.0052  0.3669  0.1423  1 Np 2.16, 1 Pa 2.20
O  0.0052  0.6383  0.3577  1 Np 2.16, 1 Pa 2.20
O  0.3617  0.3669  0.3577  1 Np 2.16, 1 Pa 2.20
O  0.3617  0.9948  0.1423  1 Np 2.16, 1 Pa 2.20
O  0.3669  0.0052  0.6423  1 Np 2.16, 1 Pa 2.20
O  0.3669  0.3617  0.8577  1 Np 2.16, 1 Pa 2.20
O  0.6331  0.6383  0.1423  1 Np 2.16, 1 Pa 2.20
O  0.6331  0.9948  0.3577  1 Np 2.16, 1 Pa 2.20
O  0.6383  0.0052  0.8577  1 Np 2.16, 1 Pa 2.20
O  0.6383  0.6331  0.6423  1 Np 2.16, 1 Pa 2.20
O  0.9948  0.3617  0.6423  1 Np 2.16, 1 Pa 2.20
O  0.9948  0.6331  0.8577  1 Np 2.16, 1 Pa 2.20

M_tot (μB per cell): 4.00
Raw formation energy (eV per atom): -2.68
SG: P-31c (163)

(9)
PaFePS: relaxed, GGA-PBE.

Lattice parameters (Å, degrees): 3.9562 3.9562 8.3810 90.00 90.00 90.00
Last column: nearest neighbours and their distance in Å.
Atoms (fractional coordinates):
Pa  0.2500  0.2500  0.2255  4 S 2.74, 4 P 3.02, 4 Fe 3.03
Pa  0.7500  0.7500  0.7745  4 S 2.74, 4 P 3.02, 4 Fe 3.03
Fe  0.2500  0.7500  0.5000  4 P 2.29
Fe  0.7500  0.2500  0.5000  4 P 2.29
P  0.2500  0.2500  0.6379  4 Fe 2.29
P  0.7500  0.7500  0.3621  4 Fe 2.29
S  0.2500  0.7500  0.0000  4 Pa 2.74, 4 S 2.80
S  0.7500  0.2500  0.0000  4 Pa 2.74, 4 S 2.80

M_tot (μB per cell): 0.00
Raw formation energy (eV per atom): -1.10
SG: P4/nmm (129)

(10)
Sr3Sb: relaxed, GGA-PBE.

Lattice parameters (Å, degrees): 4.6736 4.6736 10.9332 90.00 90.00 120.00
Last column: nearest neighbours and their distance in Å.
Atoms (fractional coordinates):
Sr  0.0000  0.0000  0.0000  12 Sr 4.51-4.67
Sr  0.6667  0.3333  0.3303  3 Sb 3.27
Sr  0.6667  0.3333  0.6697  3 Sb 3.27
Sb  0.0000  0.0000  0.5000  6 Sr 3.27

M_tot (μB per cell): 0.78
Energy above the lowest structure with this stoichiometry (meV/atom): 159
Raw formation energy (eV per atom): -0.43
SG: P-6m2 (187)

(11)
K3TbPu3Se8: relaxed, GGA-PBE.

Lattice parameters (Å, degrees): 8.4742 8.4742 9.1449 117.53 117.53 59.92
Last column: nearest neighbours and their distance in Å.
Atoms (fractional coordinates):
K  0.0000  0.0000  0.0000  6 Se 3.35-3.37
K  0.0000  0.5000  0.0000  6 Se 3.35-3.38
K  0.5000  0.0000  0.0000  6 Se 3.35-3.38
Tb  0.0000  0.0000  0.5000  6 Se 2.90
Pu  0.0000  0.5000  0.5000  6 Se 2.88-2.91
Pu  0.5000  0.0000  0.5000  6 Se 2.88-2.91
Pu  0.5000  0.5000  0.5000  6 Se 2.89-2.92
Se  0.2339  0.2339  0.6989  2 Pu 2.88, 1 Tb 2.90
Se  0.2342  0.7336  0.7010  2 Pu 2.89-2.91, 1 Tb 2.90
Se  0.2647  0.2647  0.2961  3 Pu 2.90-2.92
Se  0.2664  0.7658  0.2990  2 Pu 2.89-2.91, 1 Tb 2.90
Se  0.7336  0.2342  0.7010  2 Pu 2.89-2.91, 1 Tb 2.90
Se  0.7353  0.7353  0.7039  3 Pu 2.90-2.92
Se  0.7658  0.2664  0.2990  2 Pu 2.89-2.91, 1 Tb 2.90
Se  0.7661  0.7661  0.3011  2 Pu 2.88, 1 Tb 2.90

M_tot (μB per cell): 4.68
Raw formation energy (eV per atom): -1.48
SG: C2/m (12)

(12)
Li4TmMg8: relaxed, GGA-PBE.

Lattice parameters (Å, degrees): 7.7468 7.7468 7.7468 96.93 96.93 139.35
Last column: nearest neighbours and their distance in Å.
Atoms (fractional coordinates):
Li  0.0000  0.0000  0.5000  2 Li 2.69, 4 Mg 2.93
Li  0.0000  0.5000  0.0000  2 Li 2.69, 4 Mg 2.93
Li  0.5000  0.0000  0.0000  2 Li 2.69, 4 Mg 2.93
Li  0.5000  0.5000  0.5000  2 Li 2.69, 4 Mg 2.93
Tm  0.0000  0.0000  0.0000  12 Mg 3.45-3.61
Mg  0.0000  0.3513  0.3513  5 Mg 3.05-3.34, 4 Li 3.08
Mg  0.0000  0.6487  0.6487  5 Mg 3.05-3.34, 4 Li 3.08
Mg  0.2893  0.5000  0.7893  4 Li 2.93, 4 Mg 3.05-3.06
Mg  0.3513  0.0000  0.3513  5 Mg 3.05-3.34, 4 Li 3.08
Mg  0.5000  0.2893  0.7893  4 Li 2.93, 4 Mg 3.05-3.06
Mg  0.5000  0.7107  0.2107  4 Li 2.93, 4 Mg 3.05-3.06
Mg  0.6487  0.0000  0.6487  5 Mg 3.05-3.34, 4 Li 3.08
Mg  0.7107  0.5000  0.2107  4 Li 2.93, 4 Mg 3.05-3.06

Energy of formation (eV/atom): -0.0286
M_tot (μB per cell): 0.00
SG: I4/mmm (139)